{
  "formula": "SrHgPd",
  "functional": "PBE",
  "state": "optimized geometry",
  "lattice_angstrom": [[0.423, 2.929, 2.979], [-5.203, 1.029, -3.233], [1.602, -7.584, 4.277]],
  "species": ["Pd", "Sr", "Pd", "Sr", "Hg", "Hg"],
  "frac_coords": [[0.000, 0.000, 0.000], [0.426, 0.101, 0.750], [0.500, 0.500, 0.500], [0.574, 0.899, 0.250], [0.853, 0.457, 0.250], [0.147, 0.543, 0.750]],
  "spacegroup": "No. 12",
  "total_magnetization_mub_per_fu": 0.0,
  "formation_enthalpy_0k_ev_per_fu": -1.53
}